First-principles (PBE-GGA) data for crystalline Ce3NdIr8 at its relaxed geometry, as listed in Alexandria via LeMat-Bulk.

```
Ce3NdIr8
1.0
2.704 1.561 8.822
-2.704 1.561 8.822
0.000 -3.122 8.822
Ce Nd Ir
3 1 8
Cartesian
0.000 0.000 0.000
0.000 0.000 3.292
0.000 0.000 16.548
0.000 0.000 13.228
-1.357 -0.783 10.455
0.000 -1.569 6.079
-1.358 0.784 6.079
0.000 0.000 8.265
1.357 -0.783 10.455
0.000 1.567 10.455
1.358 0.784 6.079
0.000 0.000 21.500
```

Formation enthalpy at 0 K   -0.7521 eV per atom
Excess energy over the best structure of this formula in the dataset   0.00 eV per formula unit
DOS(E_F)   16.31 states/eV/cell
Magnetic moment   0.0 μB/cell